A geometry-optimized PmNd4Dy15 structure. Source: the Alexandria database, functional PBE.

Calculated values
As for the formation energy from the elements: 0.0183 eV/atom. As for the density: 8.10 g/cm3. As for the space group: No. 123. The value obtained for the density of states at the Fermi level is 1.337 states/eV per atom.

a = 5.0662 Å, b = 5.0662 Å, c = 25.2270 Å
α = 90.00°, β = 90.00°, γ = 90.00°
Last column: nearest neighbours and their distance in Å.
Positions (direct):
Dy 0.5000 0.5000 0.1999  8 Dy 3.58, 4 Nd 3.58
Nd 0.0000 0.0000 0.4000  12 Dy 3.57-3.58
Dy 0.0000 0.5000 0.0998  8 Dy 3.57-3.58, 2 Pm 3.57, 2 Nd 3.58
Dy 0.0000 0.5000 0.9002  8 Dy 3.57-3.58, 2 Pm 3.57, 2 Nd 3.58
Dy 0.5000 0.5000 0.0000  8 Dy 3.57, 4 Pm 3.58
Dy 0.5000 0.0000 0.3000  4 Nd 3.57-3.58, 8 Dy 3.58
Dy 0.5000 0.0000 0.5000  8 Dy 3.57-3.58, 4 Nd 3.57
Dy 0.5000 0.0000 0.0998  8 Dy 3.57-3.58, 2 Pm 3.57, 2 Nd 3.58
Dy 0.5000 0.0000 0.7000  4 Nd 3.57-3.58, 8 Dy 3.58
Nd 0.0000 0.0000 0.8000  12 Dy 3.58
Nd 0.0000 0.0000 0.6000  12 Dy 3.57-3.58
Dy 0.5000 0.5000 0.5999  8 Dy 3.57-3.58, 4 Nd 3.58
Pm 0.0000 0.0000 0.0000  12 Dy 3.57-3.58
Dy 0.5000 0.5000 0.4001  8 Dy 3.57-3.58, 4 Nd 3.58
Dy 0.5000 0.0000 0.9002  8 Dy 3.57-3.58, 2 Pm 3.57, 2 Nd 3.58
Nd 0.0000 0.0000 0.2000  12 Dy 3.58
Dy 0.0000 0.5000 0.3000  4 Nd 3.57-3.58, 8 Dy 3.58
Dy 0.0000 0.5000 0.5000  8 Dy 3.57-3.58, 4 Nd 3.57
Dy 0.5000 0.5000 0.8001  8 Dy 3.58, 4 Nd 3.58
Dy 0.0000 0.5000 0.7000  4 Nd 3.57-3.58, 8 Dy 3.58

---

A geometry-optimized Pm6Nd2Dy structure. Source: the Alexandria database, functional PBE.

Calculated values
As for the formation energy from the elements: 0.1327 eV/atom. As for the density: 7.05 g/cm3. As for the space group: No. 65. The value obtained for the density of states at the Fermi level is 1.502 states/eV per atom.

a = 3.6566 Å, b = 10.1400 Å, c = 10.1400 Å
α = 55.84°, β = 90.00°, γ = 90.00°
Last column: nearest neighbours and their distance in Å.
Positions (direct):
Pm 0.0000 0.4875 0.8393  6 Pm 3.34-3.66, 2 Nd 3.59
Nd 0.5000 0.8212 0.8212  8 Pm 3.59-3.76, 2 Nd 3.66, 2 Dy 3.69
Pm 0.5000 0.3164 0.6836  7 Pm 3.45-3.66, 2 Dy 3.52
Dy 0.0000 0.0000 0.0000  4 Pm 3.52, 2 Dy 3.66, 4 Nd 3.69
Pm 0.5000 0.6836 0.3164  7 Pm 3.45-3.66, 2 Dy 3.52
Pm 0.0000 0.5125 0.1607  6 Pm 3.34-3.66, 2 Nd 3.59
Pm 0.0000 0.1607 0.5125  6 Pm 3.34-3.66, 2 Nd 3.59
Nd 0.5000 0.1788 0.1788  8 Pm 3.59-3.76, 2 Nd 3.66, 2 Dy 3.69
Pm 0.0000 0.8393 0.4875  6 Pm 3.34-3.66, 2 Nd 3.59

---

A geometry-optimized Pm2Nd2Dy3 structure. Source: the Alexandria database, functional PBE.

Calculated values
As for the formation energy from the elements: 0.1550 eV/atom. As for the density: 7.40 g/cm3. As for the space group: No. 14. The value obtained for the density of states at the Fermi level is 1.390 states/eV per atom.

a = 6.9733 Å, b = 6.4640 Å, c = 12.6358 Å
α = 90.00°, β = 90.00°, γ = 122.86°
Last column: nearest neighbours and their distance in Å.
Positions (direct):
Nd 0.3377 0.0014 0.2918  3 Pm 3.31-3.66, 4 Dy 3.35-3.64, 2 Nd 3.64
Dy 0.4336 0.5819 0.3868  3 Nd 3.35-3.64, 3 Dy 3.35-3.66, 4 Pm 3.49-3.61
Nd 0.6623 0.9986 0.7082  3 Pm 3.31-3.66, 4 Dy 3.35-3.64, 2 Nd 3.64
Dy 0.0664 0.4181 0.8868  3 Nd 3.35-3.64, 3 Dy 3.35-3.66, 4 Pm 3.49-3.61
Pm 0.6503 0.5867 0.8867  3 Nd 3.31-3.66, 1 Pm 3.36, 6 Dy 3.49-3.65
Pm 0.1503 0.5867 0.6133  3 Nd 3.31-3.66, 1 Pm 3.36, 6 Dy 3.49-3.65
Nd 0.1623 0.9986 0.7918  3 Pm 3.31-3.66, 4 Dy 3.35-3.64, 2 Nd 3.64
Dy 0.5664 0.4181 0.6132  3 Nd 3.35-3.64, 3 Dy 3.35-3.66, 4 Pm 3.49-3.61
Dy 0.0000 0.0000 0.5000  4 Nd 3.53-3.86, 4 Dy 3.60-3.66, 4 Pm 3.64-3.65
Dy 0.9336 0.5819 0.1132  3 Nd 3.35-3.64, 3 Dy 3.35-3.66, 4 Pm 3.49-3.61
Nd 0.8377 0.0014 0.2082  3 Pm 3.31-3.66, 4 Dy 3.35-3.64, 2 Nd 3.64
Dy 0.5000 0.0000 0.0000  4 Nd 3.53-3.86, 4 Dy 3.60-3.66, 4 Pm 3.64-3.65
Pm 0.3497 0.4133 0.1133  3 Nd 3.31-3.66, 1 Pm 3.36, 6 Dy 3.49-3.65
Pm 0.8497 0.4133 0.3867  3 Nd 3.31-3.66, 1 Pm 3.36, 6 Dy 3.49-3.65